Run 1
Entry from the Alexandria database: crystalline YBTe3 at its relaxed geometry (PBE).

Lattice parameters (Å, degrees): 4.9590 4.9590 4.9590 90.00 90.00 90.00
Fractional coordinates of all 5 atoms:
Y 0.5000 0.5000 0.5000
Te 0.0000 0.5000 0.0000
Te 0.0000 0.0000 0.5000
Te 0.5000 0.0000 0.0000
B 0.0000 0.0000 0.0000

Values from the calculation:
Density (g/cm3): 6.57
Symmetry: No. 221



Run 2
Entry from the Alexandria database: crystalline YBTe3 at its relaxed geometry (PBE).

Lattice parameters (Å, degrees): 5.8575 5.8575 5.8575 90.00 90.00 90.00
Fractional coordinates of all 5 atoms:
Y 0.0000 0.0000 0.0000
Te 0.0000 0.0000 0.5000
Te 0.5000 0.0000 0.0000
Te 0.0000 0.5000 0.0000
B 0.5000 0.5000 0.5000

Values from the calculation:
Density (g/cm3): 3.99
Symmetry: No. 221



Most stable: run 1 (next structure +69.9 kJ/mol of atoms)



Run 1
Entry from the Alexandria database: crystalline Zn2BTe at its relaxed geometry (PBE).

Lattice parameters (Å, degrees): 4.6620 4.6620 4.6620 60.00 60.00 60.00
Fractional coordinates of all 4 atoms:
Zn 0.2500 0.2500 0.2500
Zn 0.7500 0.7500 0.7500
B 0.0000 0.0000 0.0000
Te 0.5000 0.5000 0.5000

Values from the calculation:
Density (g/cm3): 6.24
Symmetry: No. 225



Run 2
Entry from the Alexandria database: crystalline Zn2BTe at its relaxed geometry (PBE).

Lattice parameters (Å, degrees): 5.7680 5.7680 6.4409 63.40 63.40 90.00
Fractional coordinates of all 8 atoms:
Zn 0.5387 0.1250 0.2500
Zn 0.8750 0.7887 0.7500
Zn 0.2113 0.6250 0.2500
Zn 0.3750 0.4613 0.7500
B 0.2500 0.7500 0.5000
B 0.5000 0.5000 0.0000
Te 0.7500 0.2500 0.5000
Te 0.0000 0.0000 0.0000

Values from the calculation:
Density (g/cm3): 5.39
Symmetry: No. 122



Most stable: run 2 (next structure +44.2 kJ/mol of atoms)



Run 1
Entry from the Alexandria database: crystalline ZnBTe2 at its relaxed geometry (PBE).

Lattice parameters (Å, degrees): 5.7731 5.7731 7.3226 66.78 66.78 90.00
Fractional coordinates of all 8 atoms:
Te 0.1711 0.6250 0.2500
Te 0.5789 0.1250 0.2500
Te 0.8750 0.8289 0.7500
Te 0.3750 0.4211 0.7500
Zn 0.0000 0.0000 0.0000
Zn 0.7500 0.2500 0.5000
B 0.2500 0.7500 0.5000
B 0.5000 0.5000 0.0000

Values from the calculation:
Density (g/cm3): 5.43
Symmetry: No. 122



Run 2
Entry from the Alexandria database: crystalline ZnBTe2 at its relaxed geometry (PBE).

Lattice parameters (Å, degrees): 4.8811 4.8811 4.8811 60.00 60.00 60.00
Fractional coordinates of all 4 atoms:
B 0.0000 0.0000 0.0000
Te 0.7500 0.7500 0.7500
Te 0.2500 0.2500 0.2500
Zn 0.5000 0.5000 0.5000

Values from the calculation:
Density (g/cm3): 6.69
Symmetry: No. 225



Run 3
Entry from the Alexandria database: crystalline ZnBTe2 at its relaxed geometry (PBE).

Lattice parameters (Å, degrees): 7.5019 7.5019 7.5019 34.59 34.59 34.59
Fractional coordinates of all 4 atoms:
Zn 0.5000 0.5000 0.5000
Te 0.0969 0.0969 0.0969
Te 0.9031 0.9031 0.9031
B 0.0000 0.0000 0.0000

Values from the calculation:
Density (g/cm3): 4.53
Symmetry: No. 166



Most stable: run 1 (next structure +14.8 kJ/mol of atoms)